No. 1
SmEr2Sc | PBE-GGA | optimized geometry

Values from the calculation:
* VASP energy: -19.991 eV for the cell shown
* formation energy from the elements: 0.05 eV per atom
* magnetization: 0.000 μB/f.u.
* space-group type: No. 166

```
SmEr2Sc
1.0
3.489 0.000 0.000
1.745 3.022 0.000
1.745 1.007 11.279
Sc Sm Er
1 1 2
direct
0.000 0.000 0.000
0.500 0.500 0.500
0.746 0.746 0.761
0.254 0.254 0.239
```

=====

No. 2
RbSb2F6 | PBE-GGA | optimized geometry

Values from the calculation:
* VASP energy: -81.603 eV for the cell shown
* uncorrected formation energy: -2.262 eV/atom
* magnetization: 0.000 μB/f.u.
* space-group type: No. 15

```
RbSb2F6
1.0
6.181 -0.843 -0.817
0.585 7.775 0.187
0.585 0.438 7.765
Rb Sb F
2 4 12
direct
0.250 0.142 0.858
0.750 0.858 0.142
0.119 0.639 0.706
0.381 0.294 0.361
0.881 0.361 0.294
0.619 0.706 0.639
0.512 0.652 0.395
0.988 0.605 0.348
0.488 0.348 0.605
0.012 0.395 0.652
0.734 0.918 0.514
0.766 0.486 0.082
0.266 0.082 0.486
0.234 0.514 0.918
0.035 0.809 0.873
0.465 0.127 0.191
0.965 0.191 0.127
0.535 0.873 0.809
```

=====

No. 3
Y4MgCu3 | PBE-GGA | optimized geometry

Values from the calculation:
* VASP energy: -41.114 eV for the cell shown
* formation energy from the elements: -0.17 eV per atom
* magnetization: 0.000 μB/f.u.
* space-group type: No. 47

```
Y4MgCu3
1.0
-2.559 1.224 -2.151
-3.506 -2.005 3.030
-0.337 8.522 5.249
Y Mg Cu
4 1 3
direct
0.000 0.000 0.500
0.000 0.500 0.735
0.000 0.000 0.000
0.000 0.500 0.265
0.500 0.500 0.000
0.500 0.000 0.240
0.500 0.500 0.500
0.500 0.000 0.760
```

=====

No. 4
CsPaPdSe3 | PBE-GGA | optimized geometry

Values from the calculation:
* VASP energy: -66.431 eV for the cell shown
* uncorrected formation energy: -1.203 eV/atom
* magnetization: 0.236 μB/f.u.
* space-group type: No. 11

```
CsPaPdSe3
1.0
-2.283 1.919 2.950
6.754 -1.860 6.437
1.189 8.980 -4.921
Cs Pa Pd Se
2 2 2 6
direct
0.250 0.225 0.263
0.750 0.775 0.737
0.250 0.695 0.169
0.750 0.305 0.831
0.250 0.093 0.606
0.750 0.907 0.394
0.750 0.875 0.132
0.250 0.125 0.868
0.250 0.785 0.456
0.750 0.215 0.544
0.750 0.471 0.141
0.250 0.529 0.859
```

=====

No. 5
PmDyCu4 | PBE-GGA | optimized geometry

Values from the calculation:
* VASP energy: -27.221 eV for the cell shown
* formation energy from the elements: -0.25 eV per atom
* magnetization: 0.000 μB/f.u.
* space-group type: No. 44

```
PmDyCu4
1.0
3.966 0.000 1.700
1.860 5.060 1.138
-0.014 -0.011 5.510
Pm Dy Cu
1 1 4
direct
0.544 0.456 0.456
0.460 0.040 0.040
0.164 0.640 0.032
0.834 0.866 0.465
0.834 0.465 0.866
0.164 0.032 0.640
```

=====

No. 6
CdInHg3 | PBE-GGA | optimized geometry

Values from the calculation:
* VASP energy: -17.458 eV for the cell shown
* formation energy from the elements: 0.04 eV per atom
* magnetization: 0.000 μB/f.u.
* space-group type: No. 14

```
CdInHg3
1.0
9.037 0.082 0.000
-0.086 7.614 0.000
0.000 0.000 7.772
Cd In Hg
4 4 12
direct
0.751 0.074 0.308
0.251 0.574 0.192
0.249 0.926 0.692
0.749 0.426 0.808
0.000 0.000 0.000
0.000 0.500 0.500
0.500 0.000 0.000
0.500 0.500 0.500
0.069 0.870 0.354
0.932 0.371 0.144
0.568 0.129 0.645
0.431 0.630 0.854
0.931 0.130 0.646
0.068 0.629 0.856
0.432 0.871 0.355
0.569 0.370 0.146
0.749 0.729 0.086
0.249 0.229 0.414
0.251 0.271 0.914
0.751 0.771 0.586
```

=====

Q: magnetization of number 4 (CsPaPdSe3)?
A: 0.236 μB/f.u.

=====

Q: Which of these has the lowest VASP energy?
A: RbSb2F6

=====

Q: magnetization of number 2 (RbSb2F6)?
A: 0.000 μB/f.u.